Record 1
DFT (PBE) results for a relaxed structure of La6Tb3Sc.

- Crystal system: trigonal

Geometry as CIF:
```
data_La6Tb3Sc
_chemical_formula_sum 'La18 Tb9 Sc3'
_cell_length_a 9.9912
_cell_length_b 9.9912
_cell_length_c 12.1252
_cell_angle_alpha 90.00
_cell_angle_beta 90.00
_cell_angle_gamma 120.00
_symmetry_space_group_name_H-M 'R 3'
_symmetry_Int_Tables_number 146
_symmetry_space_group_name_Hall 'R 3'
loop_
_atom_site_label
_atom_site_type_symbol
_atom_site_fract_x
_atom_site_fract_y
_atom_site_fract_z
La1 La 0.0007 0.3389 0.0000
La2 La 0.0050 0.6706 0.5005
Tb1 Tb 0.0000 0.0000 0.0839
Tb2 Tb 0.0000 0.0000 0.3385
Tb3 Tb 0.0000 0.0000 0.8297
Sc1 Sc 0.0000 0.0000 0.5839
```



Record 2
DFT (PBE) results for a relaxed structure of MnCrRu2.

- Crystal system: cubic

Geometry as CIF:
```
data_MnCrRu2
_chemical_formula_sum 'Mn4 Cr4 Ru8'
_cell_length_a 6.029
_cell_length_b 6.029
_cell_length_c 6.029
_cell_angle_alpha 90.00
_cell_angle_beta 90.00
_cell_angle_gamma 90.00
_symmetry_space_group_name_H-M 'F -4 3 m'
_symmetry_Int_Tables_number 216
_symmetry_space_group_name_Hall 'F -4 2 3'
loop_
_atom_site_label
_atom_site_type_symbol
_atom_site_fract_x
_atom_site_fract_y
_atom_site_fract_z
Mn1 Mn 0.000 0.000 0.000
Cr1 Cr 0.250 0.250 0.750
Ru1 Ru 0.000 0.000 0.500
Ru2 Ru 0.250 0.250 0.250
```



Record 3
DFT (PBE) results for a relaxed structure of Pt2AuBr.

- ΔE_f (raw): 556 meV/atom
- Crystal system: triclinic
- Relative energy among the computed polymorphs: 297.2 meV per atom

Geometry as CIF:
```
data_Pt2AuBr
_chemical_formula_sum 'Pt2 Au1 Br1'
_cell_length_a 3.043
_cell_length_b 5.264
_cell_length_c 5.337
_cell_angle_alpha 116.86
_cell_angle_beta 97.89
_cell_angle_gamma 101.67
_symmetry_space_group_name_H-M 'P -1'
_symmetry_Int_Tables_number 2
_symmetry_space_group_name_Hall '-P 1'
loop_
_atom_site_label
_atom_site_type_symbol
_atom_site_fract_x
_atom_site_fract_y
_atom_site_fract_z
Pt1 Pt 0.000 0.000 0.000
Pt2 Pt 0.500 0.000 0.500
Au1 Au 0.000 0.500 0.500
Br1 Br 0.500 0.500 0.000
```



Record 4
DFT (PBE) results for a relaxed structure of TlSiIr2.

- ΔE_f (raw): 618 meV/atom
- Crystal system: cubic
- Relative energy among the computed polymorphs: 766.3 meV per atom

Geometry as CIF:
```
data_TlSiIr2
_chemical_formula_sum 'Tl4 Si4 Ir8'
_cell_length_a 6.449
_cell_length_b 6.449
_cell_length_c 6.449
_cell_angle_alpha 90.00
_cell_angle_beta 90.00
_cell_angle_gamma 90.00
_symmetry_space_group_name_H-M 'F -4 3 m'
_symmetry_Int_Tables_number 216
_symmetry_space_group_name_Hall 'F -4 2 3'
loop_
_atom_site_label
_atom_site_type_symbol
_atom_site_fract_x
_atom_site_fract_y
_atom_site_fract_z
Tl1 Tl 0.000 0.000 0.000
Si1 Si 0.250 0.250 0.250
Ir1 Ir 0.000 0.000 0.500
Ir2 Ir 0.250 0.250 0.750
```



Number 1: total energy -4.8027 eV/atom. Number 2: total energy -9.0386 eV/atom. Number 3: total energy -3.7020 eV/atom. Number 4: total energy -5.7595 eV/atom.